LiNi2Mo PBE optimized geometry; calculated volume = 51 Å³/cell; DFT total energy = -0.2213 Ha/atom; energy above the most stable polymorph in this dataset = 0.16 eV/f.u.
1.0
4.5165 -1.2817 0.0000
4.5165 1.2817 0.0000
-0.9846 0.0000 4.3803
Li Ni Mo
1 2 1
Direct
0.0000 0.0000 0.0000 Li
0.2456 0.2456 0.8500 Ni
0.5336 0.5336 0.5210 Ni
0.7851 0.7851 0.3621 Mo